DFT (PBE with a Hubbard U) results for an optimized crystal structure of MnInF2.

Cell lengths 4.5933, 4.5933, 4.5933 Å; angles 60.00, 60.00, 60.00 degrees
Fractional coordinates of all 4 atoms:
Mn1 0.0000 0.0000 0.0000
In1 0.5000 0.5000 0.5000
F1 0.2500 0.2500 0.2500
F2 0.7500 0.7500 0.7500

spin magnetization = 5.89 μB/f.u.
energy above the lowest structure with this stoichiometry = 64.6 kJ/mol of atoms
calculated volume = 17.131 Å³ per atom
VASP energy = -4.66 eV/atom